1.
VASP calculation (PBE-GGA) on a relaxed structure of LiTmLuBe.

D(E_F) in states/eV per atom: 1.090
VASP energy in hartree per atom: -0.1299
E_form in eV per formula unit: 0.5

Cell: 4.8993 4.8993 4.8993 Å, 60.00 60.00 60.00°
Fractional coordinates of all 4 atoms:
Tm 0.2500 0.2500 0.2500
Lu 0.7500 0.7500 0.7500
Be 0.0000 0.0000 0.0000
Li 0.5000 0.5000 0.5000

2.
VASP calculation (PBE-GGA) on a relaxed structure of LiLuBeZn.

D(E_F) in states/eV per atom: 0.137
VASP energy in hartree per atom: -0.1069
E_form in eV per formula unit: -0.2

Cell: 4.4332 4.4332 4.4332 Å, 60.00 60.00 60.00°
Fractional coordinates of all 4 atoms:
Be 0.0000 0.0000 0.0000
Lu 0.7500 0.7500 0.7500
Li 0.5000 0.5000 0.5000
Zn 0.2500 0.2500 0.2500

3.
VASP calculation (PBE-GGA) on a relaxed structure of LiMgBe2.

D(E_F) in states/eV per atom: 0.142
VASP energy in hartree per atom: -0.0876
E_form in eV per formula unit: 1.4

Cell: 4.2205 4.2205 2.9656 Å, 90.00 90.00 90.00°
Fractional coordinates of all 4 atoms:
Be 0.0000 0.0000 0.0000
Be 0.5000 0.5000 0.0000
Li 0.5000 0.0000 0.5000
Mg 0.0000 0.5000 0.5000